MnSiSe2Br | PBE | relaxed

The value obtained for the size of the total moment is 0.000 μB/atom. The value obtained for the total energy is -4.114 eV/atom. The value obtained for the uncorrected formation energy is 0.5327 eV/atom.

The structure in CIF format:
```
data_MnSiSe2Br
_cell_length_a 4.624
_cell_length_b 4.624
_cell_length_c 5.102
_cell_angle_alpha 90.00
_cell_angle_beta 90.00
_cell_angle_gamma 90.00
_space_group_name_H-M_alt 'P 4/m m m'
_space_group_IT_number 123
_space_group_name_Hall '-P 4 2'
loop_
_atom_site_label
_atom_site_type_symbol
_atom_site_fract_x
_atom_site_fract_y
_atom_site_fract_z
Mn1 Mn 0.000 0.000 0.000
Si1 Si 0.500 0.500 0.500
Se1 Se 0.000 0.500 0.000
Br1 Br 0.000 0.000 0.500
```

Zr6AlIn | PBE | relaxed

The value obtained for the size of the total moment is 0.000 μB/atom. The value obtained for the total energy is -7.491 eV/atom. Its formation energy is -2.159 eV/f.u.

The structure in CIF format:
```
data_Zr6AlIn
_cell_length_a 4.430
_cell_length_b 4.430
_cell_length_c 8.856
_cell_angle_alpha 90.00
_cell_angle_beta 90.00
_cell_angle_gamma 90.00
_space_group_name_H-M_alt 'P 4/m m m'
_space_group_IT_number 123
_space_group_name_Hall '-P 4 2'
loop_
_atom_site_label
_atom_site_type_symbol
_atom_site_fract_x
_atom_site_fract_y
_atom_site_fract_z
Zr1 Zr 0.000 0.000 0.000
Zr2 Zr 0.000 0.000 0.500
Zr3 Zr 0.000 0.500 0.243
Al1 Al 0.500 0.500 0.000
In1 In 0.500 0.500 0.500
```